DFT (PBE) results for crystalline Zr2CdHg6 at its relaxed geometry.

Calculated values
- ΔE_f (kJ/mol of atoms) = 2.3
- energy (eV per formula unit) = -19.61
- spin magnetization (μB per cell) = 0.000

a = 8.005 Å, b = 8.583 Å, c = 5.855 Å
α = 90.00°, β = 95.63°, γ = 90.00°
Space group C2/m (No. 12)
Unique sites:
1 Zr 0.159 0.000 0.162 [4 per cell]
2 Cd 0.000 0.500 0.500 [2 per cell]
3 Hg 0.000 0.334 0.000 [4 per cell]
4 Hg 0.167 0.167 0.666 [8 per cell]